VASP calculation (PBE) on Pu2Be4ReSi3 after structural relaxation.

Lattice parameters (Å, degrees): 3.862 3.862 9.669 90.00 90.00 90.00
Each line ends with the local moment (μB).
Positions (direct):
Pu 0.500 0.000 0.253  -5.04
Pu 0.000 0.500 0.747  -5.04
Be 0.500 0.500 0.000  0.01
Be 0.000 0.000 0.000  0.01
Be 0.500 0.000 0.636  -0.01
Be 0.000 0.500 0.364  -0.01
Re 0.500 0.500 0.500  0.50
Si 0.000 0.000 0.500  0.04
Si 0.500 0.000 0.869  0.06
Si 0.000 0.500 0.131  0.06

Volume: 144.2 Å³ per cell
SG: P-4m2, No. 115
ρ: 9.1 Mg/m³
DOS(E_F): 15.63 states/eV per cell
Raw formation energy: -0.24 eV/atom

=====

VASP calculation (PBE) on KCr2Cl8 after structural relaxation.

Lattice parameters (Å, degrees): 7.042 7.516 7.461 107.79 96.76 84.28
Each line ends with the local moment (μB).
Positions (direct):
K 0.000 0.000 0.000  0.00
Cr 0.205 0.311 0.683  2.32
Cr 0.795 0.689 0.317  2.32
Cl 0.089 0.727 0.287  -0.01
Cl 0.911 0.273 0.713  -0.01
Cl 0.644 0.866 0.156  -0.01
Cl 0.269 0.235 0.392  -0.01
Cl 0.275 0.600 0.787  -0.01
Cl 0.356 0.134 0.844  -0.01
Cl 0.731 0.765 0.608  -0.01
Cl 0.725 0.400 0.213  -0.01

Volume: 372.5 Å³ per cell
SG: P-1, No. 2
ρ: 1.9 Mg/m³
DOS(E_F): 6.15 states/eV per cell
Raw formation energy: -1.09 eV/atom

=====

VASP calculation (PBE) on NpSi2NiOs after structural relaxation.

Lattice parameters (Å, degrees): 3.955 3.955 5.784 109.99 109.99 90.00
Each line ends with the local moment (μB).
Positions (direct):
Np 0.000 0.000 0.000  3.61
Si 0.621 0.621 0.241  -0.01
Si 0.379 0.379 0.759  -0.01
Ni 0.250 0.750 0.500  0.11
Os 0.750 0.250 0.500  -0.04

Volume: 79.2 Å³ per cell
SG: I-4m2, No. 119
ρ: 11.4 Mg/m³
DOS(E_F): 9.34 states/eV per cell
Raw formation energy: -0.48 eV/atom

=====

VASP calculation (PBE) on MgRuRh2 after structural relaxation.

Lattice parameters (Å, degrees): 4.703 4.703 4.703 130.80 130.77 72.15
Each line ends with the local moment (μB).
Positions (direct):
Mg 0.250 0.750 0.500  0.00
Rh 0.000 0.000 0.000  0.10
Rh 0.500 0.500 0.000  0.10
Ru 0.750 0.250 0.500  0.50

Volume: 58.3 Å³ per cell
SG: I4/mmm, No. 139
ρ: 9.4 Mg/m³
ΔE_f: -0.392 eV/f.u.
DOS(E_F): 4.60 states/eV per cell

=====

VASP calculation (PBE) on GdHfTcPt after structural relaxation.

Lattice parameters (Å, degrees): 4.775 4.775 4.775 60.00 60.00 60.00
Each line ends with the local moment (μB).
Positions (direct):
Gd 0.250 0.250 0.250  7.00
Hf 0.750 0.750 0.750  0.02
Tc 0.000 0.000 0.000  -0.08
Pt 0.500 0.500 0.500  -0.02

Volume: 77.0 Å³ per cell
SG: F-43m, No. 216
ρ: 13.6 Mg/m³
ΔE_f: -2.367 eV/f.u.
DOS(E_F): 1.83 states/eV per cell

=====

VASP calculation (PBE) on Ag5Au4 after structural relaxation.

Lattice parameters (Å, degrees): 2.825 9.285 9.285 88.67 81.25 81.25
Positions (direct):
Ag 0.000 0.000 0.000
Ag 0.684 0.000 0.632
Ag 0.316 0.000 0.368
Ag 0.684 0.632 0.000
Ag 0.316 0.368 0.000
Au 0.000 0.780 0.220
Au 0.000 0.220 0.780
Au 0.780 0.220 0.220
Au 0.220 0.780 0.780

Energy relative to the lowest polymorph listed for this composition: 318 meV per atom
Volume: 237.9 Å³ per cell
SG: I4/mmm, No. 139
ρ: 9.3 Mg/m³
ΔE_f: 2.521 eV/f.u.
DOS(E_F): 2.56 states/eV per cell

=====

VASP calculation (PBE) on Pm2HoTe after structural relaxation.

Lattice parameters (Å, degrees): 4.740 4.922 4.922 90.00 90.00 90.00
Positions (direct):
Te 0.500 0.000 0.000
Ho 0.500 0.500 0.500
Pm 0.000 0.000 0.500
Pm 0.000 0.500 0.000

Energy relative to the lowest polymorph listed for this composition: 93 meV per atom
Volume: 114.8 Å³ per cell
SG: P4/mmm, No. 123
ρ: 8.4 Mg/m³
DOS(E_F): 4.26 states/eV per cell
Raw formation energy: -0.48 eV/atom

=====

VASP calculation (PBE) on CePuIrAu after structural relaxation.

Lattice parameters (Å, degrees): 5.030 5.030 5.030 60.00 60.00 60.00
Each line ends with the local moment (μB).
Positions (direct):
Ir 0.000 0.000 0.000  -0.26
Au 0.500 0.500 0.500  0.04
Ce 0.250 0.250 0.250  0.77
Pu 0.750 0.750 0.750  5.29

Volume: 90.0 Å³ per cell
SG: F-43m, No. 216
ρ: 14.3 Mg/m³
ΔE_f: -2.046 eV/f.u.
DOS(E_F): 11.71 states/eV per cell

=====

VASP calculation (PBE) on KMnNi after structural relaxation.

Lattice parameters (Å, degrees): 5.465 5.717 5.342 91.69 63.83 123.00
Positions (direct):
Ni 0.191 0.417 0.762
Ni 0.617 0.844 0.336
K 0.414 0.239 0.157
K 0.902 0.484 0.403
Mn 0.984 0.937 0.856
Mn 0.643 0.856 0.774

Energy relative to the lowest polymorph listed for this composition: 597 meV per atom
Volume: 120.6 Å³ per cell
SG: Cm, No. 8
ρ: 4.2 Mg/m³
ΔE_f: 2.877 eV/f.u.
DOS(E_F): 10.91 states/eV per cell

=====

VASP calculation (PBE) on KAs3 after structural relaxation.

Lattice parameters (Å, degrees): 6.183 6.183 6.183 117.81 117.81 117.81
Positions (direct):
As 0.000 0.000 0.000
As 0.000 0.500 0.500
As 0.500 0.000 0.500
K 0.500 0.500 0.000

Energy relative to the lowest polymorph listed for this composition: 346 meV per atom
Volume: 89.6 Å³ per cell
SG: R-3m, No. 166
ρ: 4.9 Mg/m³
ΔE_f: 0.888 eV/f.u.
DOS(E_F): 2.13 states/eV per cell

=====

VASP calculation (PBE) on Er4AgSe5 after structural relaxation.

Lattice parameters (Å, degrees): 3.993 8.882 9.086 106.37 102.69 90.00
Positions (direct):
Er 0.319 0.891 0.638
Er 0.997 0.721 0.993
Er 0.681 0.109 0.362
Er 0.003 0.279 0.007
Ag 0.500 0.000 0.000
Se 0.840 0.691 0.679
Se 0.840 0.133 0.680
Se 0.160 0.867 0.320
Se 0.500 0.500 0.000
Se 0.160 0.309 0.321

Volume: 300.9 Å³ per cell
SG: C2/m, No. 12
ρ: 6.5 Mg/m³
DOS(E_F): 3.77 states/eV per cell
Raw formation energy: -1.42 eV/atom